Entry 1:
Below is a relaxed structure of Ac5Tl2HOs, with properties calculated at the PBE-GGA level.

Lattice parameters (Å, degrees): 4.337 10.034 14.646 90.00 90.00 102.48
Positions (direct):
1 Ac 0.343 0.685 0.023
2 Ac 0.694 0.388 0.886
3 Ac 0.501 0.001 0.764
4 Ac 0.307 0.614 0.663
5 Ac 0.956 0.912 0.503
6 Ac 0.657 0.315 0.523
7 Ac 0.306 0.612 0.386
8 Ac 0.499 0.999 0.264
9 Ac 0.693 0.386 0.163
10 Ac 0.044 0.088 0.003
11 Tl 0.878 0.755 0.843
12 Tl 0.126 0.253 0.706
13 Tl 0.122 0.245 0.343
14 Tl 0.874 0.747 0.206
15 H 0.561 0.122 0.911
16 H 0.439 0.878 0.411
17 Os 0.807 0.615 0.524
18 Os 0.193 0.385 0.024

Summary:
As for the symmetry: Cmc2_1 (36). As for the calculated total energy: -4.6766 eV/atom.

---

Entry 2:
Below is a relaxed structure of AcPH2, with properties calculated at the PBE-GGA level.

Lattice parameters (Å, degrees): 4.456 4.456 4.471 60.11 60.11 60.00
Positions (direct):
1 P 0.000 0.000 0.000
2 Ac 0.500 0.500 0.500
3 H 0.157 0.157 0.528
4 H 0.843 0.843 0.472

Summary:
As for the symmetry: R-3m (166). Its energy relative to the lowest polymorph listed for this composition is 0.00 eV per formula unit.

---

Entry 3:
Below is a relaxed structure of Ac2PH, with properties calculated at the PBE-GGA level.

Lattice parameters (Å, degrees): 4.242 4.242 7.209 72.89 72.89 60.00
Positions (direct):
1 P 0.500 0.500 0.500
2 Ac 0.252 0.252 0.243
3 Ac 0.748 0.748 0.757
4 H 0.000 0.000 0.000

Summary:
As for the symmetry: R-3m (166). Its energy relative to the lowest polymorph listed for this composition is 0.00 eV per formula unit.

---

Entry 4:
Below is a relaxed structure of Ac3PH, with properties calculated at the PBE-GGA level.

Lattice parameters (Å, degrees): 5.145 5.145 5.145 90.00 90.00 90.00
Positions (direct):
1 P 0.500 0.500 0.500
2 Ac 0.000 0.500 0.000
3 Ac 0.000 0.000 0.500
4 Ac 0.500 0.000 0.000
5 H 0.000 0.000 0.000

Summary:
As for the symmetry: Pm-3m (221). As for the calculated total energy: -4.4628 eV/atom.

---

Entry 5:
Below is a relaxed structure of Ac2PH, with properties calculated at the PBE-GGA level.

Lattice parameters (Å, degrees): 4.121 4.121 7.665 74.41 74.41 60.00
Positions (direct):
1 Ac 0.084 0.084 0.748
2 Ac 0.252 0.252 0.244
3 P 0.668 0.668 0.997
4 H 0.496 0.496 0.512

Summary:
As for the symmetry: R3m (160). Its energy relative to the lowest polymorph listed for this composition is 0.38 eV per formula unit.

---

Entry 6:
Below is a relaxed structure of Ac2PH, with properties calculated at the PBE-GGA level.

Lattice parameters (Å, degrees): 5.167 5.167 5.167 60.00 60.00 60.00
Positions (direct):
1 P 0.000 0.000 0.000
2 Ac 0.250 0.250 0.250
3 Ac 0.750 0.750 0.750
4 H 0.500 0.500 0.500

Summary:
As for the symmetry: Fm-3m (225). Its energy relative to the lowest polymorph listed for this composition is 1.10 eV per formula unit.

---

Entry 7:
Below is a relaxed structure of Ac4P3H, with properties calculated at the PBE-GGA level.

Lattice parameters (Å, degrees): 4.374 7.531 7.531 71.15 90.00 90.00
Positions (direct):
1 Ac 0.000 0.758 0.742
2 Ac 0.500 0.749 0.250
3 Ac 0.000 0.241 0.259
4 Ac 0.500 0.251 0.751
5 P 0.500 0.000 0.500
6 P 0.000 0.000 0.000
7 P 0.000 0.500 0.500
8 H 0.500 0.502 0.998

Summary:
As for the symmetry: Amm2 (38). As for the calculated total energy: -5.6627 eV/atom.

---

Entry 8:
Below is a relaxed structure of Ac2PH, with properties calculated at the PBE-GGA level.

Lattice parameters (Å, degrees): 3.843 5.073 5.073 90.00 90.00 90.00
Positions (direct):
1 P 0.500 0.500 0.500
2 Ac 0.000 0.000 0.500
3 Ac 0.000 0.500 0.000
4 H 0.500 0.000 0.000

Summary:
As for the symmetry: P4/mmm (123). Its energy relative to the lowest polymorph listed for this composition is 1.24 eV per formula unit.

---

V across the listed records, respectively: 622.3; 62.9; 105.7; 136.2; 107.2; 97.5; 234.8; 98.9 Å³ per cell.